1.
RuAuCl4 (PBE-GGA, optimized geometry); calculated density = 5.512 g/cm³; energy relative to the elements, uncorrected = 1220 meV per atom; magnetization = 1.61 μB/f.u.
1.0
-4.743 -2.412 -2.106
-4.599 3.221 -1.107
-1.556 1.001 -5.415
Cl Ru Au
4 1 1
Cartesian
-4.090 0.679 -3.238 Cl
-6.456 -0.524 -4.289 Cl
-4.867 1.178 -5.939 Cl
-6.384 2.285 -3.790 Cl
-8.174 1.357 -6.471 Ru
0.000 0.000 0.000 Au

---

2.
Ru2AuCl (PBE-GGA, optimized geometry); calculated density = 11.226 g/cm³; energy relative to the elements, uncorrected = 971 meV per atom; magnetization = 0.00 μB/f.u.; polymorph energy (0 for the lowest one) = 762 meV/atom
1.0
4.496 0.000 0.000
2.248 3.894 0.000
2.248 1.298 3.671
Cl Ru Au
1 2 1
Cartesian
6.745 3.894 2.753 Cl
2.248 1.298 0.918 Ru
0.000 0.000 0.000 Ru
4.496 2.596 1.836 Au

---

What are the density of states at the Fermi level values for these records? In order: 7.13; 3.44 states/eV/cell.